A plane-wave DFT calculation with PBE was carried out for a geometry-optimized Tb2Th2Se structure.

a b c (Å): 4.081 4.081 9.368
angles (deg): 90.00 90.00 90.00
Sites, in units of the cell vectors:
1 Tb 0.000 0.500 0.000
2 Tb 0.500 0.000 0.000
3 Th 0.000 0.000 0.320
4 Th 0.000 0.000 0.680
5 Se 0.500 0.500 0.500

E   -26.86 eV per cell
Magnetization   0.02 μB per cell